{"formula": "AlNi2Sb", "functional": "PBE", "state": "optimized geometry", "cell": [[3.0243, 0.0000, 0.0000], [-1.5121, 2.6191, 0.0000], [0.0000, 0.0000, 23.2041]], "species": ["Al", "Al", "Al", "Ni", "Ni", "Ni", "Ni", "Ni", "Ni", "Sb", "Sb", "Sb"], "fractional_positions": [[0.0000, 0.0000, 0.0000], [0.3333, 0.6667, 0.6667], [0.6667, 0.3333, 0.3333], [0.0000, 0.0000, 0.2542], [0.0000, 0.0000, 0.7458], [0.3333, 0.6667, 0.4125], [0.3333, 0.6667, 0.9208], [0.6667, 0.3333, 0.0792], [0.6667, 0.3333, 0.5875], [0.0000, 0.0000, 0.5000], [0.3333, 0.6667, 0.1667], [0.6667, 0.3333, 0.8333]], "sg": "R-3m (166)", "formation_energy_uncorrected_ev_per_atom": -0.023, "e_above_lowest_polymorph_ev_per_atom": 0.219, "n_ef_per_ev_cell": 4.68, "crystal_system": "trigonal"}

{"formula": "RbMnTeI6", "functional": "PBE", "state": "optimized geometry", "cell": [[7.7194, 0.0000, 0.0000], [-3.2545, 7.0117, 0.0000], [-0.3224, -0.4867, 8.0326]], "species": ["Rb", "Mn", "Te", "I", "I", "I", "I", "I", "I"], "fractional_positions": [[0.0000, 0.0000, 0.0000], [0.3262, 0.6748, 0.5006], [0.6731, 0.3265, 0.5004], [0.0269, 0.3743, 0.6955], [0.0395, 0.6399, 0.2706], [0.3622, 0.9600, 0.7321], [0.3769, 0.3793, 0.2873], [0.6211, 0.6221, 0.7135], [0.6257, 0.9734, 0.3056]], "sg": "P1 (1)", "formation_energy_uncorrected_ev_per_atom": -0.465, "n_ef_per_ev_cell": 1.08, "crystal_system": "triclinic"}

{"formula": "Rb3HgAu3", "functional": "PBE", "state": "optimized geometry", "cell": [[6.1981, -2.5169, 0.0000], [6.1981, 2.5169, 0.0000], [-6.1213, 0.0000, 15.7518]], "species": ["Rb", "Rb", "Rb", "Rb", "Rb", "Rb", "Hg", "Hg", "Au", "Au", "Au", "Au", "Au", "Au"], "fractional_positions": [[0.0190, 0.0190, 0.2672], [0.1791, 0.1791, 0.5755], [0.3501, 0.3501, 0.8821], [0.6499, 0.6499, 0.1179], [0.8209, 0.8209, 0.4245], [0.9810, 0.9810, 0.7328], [0.3461, 0.3461, 0.0975], [0.6539, 0.6539, 0.9025], [0.0868, 0.0868, 0.9632], [0.3163, 0.3163, 0.2677], [0.4747, 0.4747, 0.5783], [0.5253, 0.5253, 0.4217], [0.6837, 0.6837, 0.7323], [0.9132, 0.9132, 0.0368]], "sg": "C2/m (12)", "e_above_lowest_polymorph_ev_per_atom": 0.000, "n_ef_per_ev_cell": 3.97, "e_form_ev_per_atom": -0.286, "crystal_system": "monoclinic"}

{"formula": "K2PuTc2N6", "functional": "PBE", "state": "optimized geometry", "cell": [[5.3543, -3.0616, 0.0000], [5.3543, 3.0616, 0.0000], [-3.7940, 0.0000, 6.1016]], "species": ["K", "K", "Pu", "Tc", "Tc", "N", "N", "N", "N", "N", "N"], "fractional_positions": [[0.2150, 0.2150, 0.1817], [0.7850, 0.7850, 0.8183], [0.0000, 0.0000, 0.5000], [0.4436, 0.4436, 0.7841], [0.5564, 0.5564, 0.2159], [0.2426, 0.7334, 0.2680], [0.2513, 0.2513, 0.6720], [0.2666, 0.7574, 0.7320], [0.7334, 0.2426, 0.2680], [0.7487, 0.7487, 0.3280], [0.7574, 0.2666, 0.7320]], "sg": "C2/m (12)", "formation_energy_uncorrected_ev_per_atom": -0.282, "n_ef_per_ev_cell": 6.99, "crystal_system": "monoclinic"}